1.
First-principles (PBE) data for a relaxed LaSbOs2 crystal, as listed in Alexandria.

Lattice parameters (Å, degrees): 5.442 5.442 5.605 111.08 111.08 34.06
Fractional positions:
La 0.000 0.000 0.000
Sb 0.201 0.201 0.682
Os 0.475 0.475 0.437
Os 0.766 0.766 0.363

Values from the calculation:
space-group type	No. 8
Fermi-level density of states	1.012	states/eV per cell
raw formation energy	4.35	kcal/mol of atoms
DFT total energy	-0.5651	Ry per atom

2.
First-principles (PBE) data for a relaxed EuZnIn crystal, as listed in Alexandria.

Lattice parameters (Å, degrees): 6.328 6.328 6.328 146.34 146.34 48.35
Fractional positions:
Eu 0.000 0.000 0.000
Zn 0.673 0.673 0.000
In 0.300 0.300 0.000

Values from the calculation:
formation enthalpy at 0 K	-244	meV/atom
space-group type	No. 107
Fermi-level density of states	6.074	states/eV per cell
DFT total energy	-0.3680	Ry per atom